Entry from Alexandria via LeMat-Bulk: a relaxed structure of Ba4Ac3NdSe8 (PBE).

a b c (Å): 9.157 9.157 9.157
angles (deg): 59.14 59.14 59.14
Positions (direct):
Ba: 0.000 0.000 0.000
Ba: 0.000 0.500 0.500
Ba: 0.500 0.000 0.500
Ba: 0.500 0.500 0.000
Ac: 0.000 0.000 0.500
Ac: 0.000 0.500 0.000
Ac: 0.500 0.000 0.000
Nd: 0.500 0.500 0.500
Se: 0.245 0.245 0.245
Se: 0.251 0.740 0.740
Se: 0.260 0.260 0.749
Se: 0.260 0.749 0.260
Se: 0.740 0.251 0.740
Se: 0.740 0.740 0.251
Se: 0.749 0.260 0.260
Se: 0.755 0.755 0.755

Computed properties:
Fermi-level density of states: 6.55 states/eV/cell
volume: 33.267 Å³/atom
E_form (uncorrected): -1.94 eV/atom
total magnetization: 0.0 μB per formula unit